#P
{"formula": "Li2ScSi2", "functional": "GGA-PBE", "state": "relaxed", "lattice_angstrom": [[3.7866, 0.0000, 0.0000], [0.0000, 3.7866, 0.0000], [1.8933, 1.8933, 5.7123]], "species": ["Si", "Si", "Li", "Li", "Sc"], "fractional_positions": [[0.4002, 0.4002, 0.1997], [0.5998, 0.5998, 0.8003], [0.2500, 0.7500, 0.5000], [0.7500, 0.2500, 0.5000], [0.0000, 0.0000, 0.0000]], "m_tot_mub_per_fu": 0.00, "vol_a3_per_atom": 16.38, "dos_ef_per_ev_atom": 0.31}

---

#Q
{"formula": "Li2ScSi2", "functional": "GGA-PBE", "state": "relaxed", "lattice_angstrom": [[-7.4115, 0.8641, 0.6104], [0.0220, -4.1929, 6.2023], [0.3861, 2.2417, 1.5141]], "species": ["Li", "Li", "Li", "Li", "Si", "Si", "Si", "Si", "Sc", "Sc"], "fractional_positions": [[0.1131, 0.3869, 0.0000], [0.6131, 0.1131, 0.0000], [0.8869, 0.6131, 0.0000], [0.3869, 0.8869, 0.0000], [0.1815, 0.6815, 0.5000], [0.6815, 0.8185, 0.5000], [0.8185, 0.3185, 0.5000], [0.3185, 0.1815, 0.5000], [0.0000, 0.0000, 0.0000], [0.5000, 0.5000, 0.0000]], "m_tot_mub_per_fu": 0.08, "vol_a3_per_atom": 15.32, "dos_ef_per_ev_atom": 0.44}

---

The computed energies, referenced to the most stable structure and given in meV per atom, are #P 0; #Q 151.

---

#P
{"formula": "LiScSi3", "functional": "GGA-PBE", "state": "relaxed", "lattice_angstrom": [[-2.6624, 1.6864, -3.9163], [3.2513, -2.1842, -3.1508], [-2.7586, -4.2018, 0.0661]], "species": ["Si", "Si", "Si", "Sc", "Li"], "fractional_positions": [[0.5000, 0.0000, 0.0000], [0.0000, 0.5000, 0.0000], [0.0000, 0.0000, 0.5000], [0.0000, 0.0000, 0.0000], [0.5000, 0.5000, 0.5000]], "m_tot_mub_per_fu": 0.00, "vol_a3_per_atom": 25.41, "dos_ef_per_ev_atom": 0.46}

---

#Q
{"formula": "LiScSi3", "functional": "GGA-PBE", "state": "relaxed", "lattice_angstrom": [[4.3737, 0.0000, 0.0000], [0.0000, 4.3737, 0.0000], [0.0000, 0.0000, 4.3737]], "species": ["Si", "Si", "Si", "Sc", "Li"], "fractional_positions": [[0.5000, 0.0000, 0.0000], [0.0000, 0.5000, 0.0000], [0.0000, 0.0000, 0.5000], [0.5000, 0.5000, 0.5000], [0.0000, 0.0000, 0.0000]], "m_tot_mub_per_fu": 0.00, "vol_a3_per_atom": 16.73, "dos_ef_per_ev_atom": 0.51}

---

The computed energies, referenced to the most stable structure and given in meV per atom, are #P 285; #Q 0.

---

#P
{"formula": "Li3ScSi", "functional": "GGA-PBE", "state": "relaxed", "lattice_angstrom": [[-0.6763, -0.1234, -4.9038], [4.4133, -2.1762, -0.5540], [-2.1413, -4.4463, 0.4072]], "species": ["Si", "Li", "Li", "Li", "Sc"], "fractional_positions": [[0.5000, 0.5000, 0.5000], [0.0000, 0.5000, 0.0000], [0.0000, 0.0000, 0.5000], [0.5000, 0.0000, 0.0000], [0.0000, 0.0000, 0.0000]], "m_tot_mub_per_fu": 1.24, "vol_a3_per_atom": 24.28, "dos_ef_per_ev_atom": 1.76}

---

#Q
{"formula": "Li3ScSi", "functional": "GGA-PBE", "state": "relaxed", "lattice_angstrom": [[-1.4695, 1.5317, 4.0618], [2.8217, -2.9216, 2.1226], [3.2988, 3.1815, -0.0063]], "species": ["Si", "Li", "Li", "Li", "Sc"], "fractional_positions": [[0.0000, 0.0000, 0.0000], [0.0000, 0.0000, 0.5000], [0.0000, 0.5000, 0.0000], [0.5000, 0.0000, 0.0000], [0.5000, 0.5000, 0.5000]], "m_tot_mub_per_fu": 0.47, "vol_a3_per_atom": 19.25, "dos_ef_per_ev_atom": 0.66}

---

The computed energies, referenced to the most stable structure and given in meV per atom, are #P 1000; #Q 0.

---

#P
{"formula": "LiScSn3", "functional": "GGA-PBE", "state": "relaxed", "lattice_angstrom": [[-3.8018, 3.7813, 1.2637], [-1.3733, -2.8813, 4.4901], [3.7429, 2.7836, 2.9311]], "species": ["Sc", "Sn", "Sn", "Sn", "Li"], "fractional_positions": [[0.0000, 0.0000, 0.0000], [0.5000, 0.0000, 0.0000], [0.0000, 0.5000, 0.0000], [0.0000, 0.0000, 0.5000], [0.5000, 0.5000, 0.5000]], "m_tot_mub_per_fu": 0.00, "vol_a3_per_atom": 33.44, "dos_ef_per_ev_atom": 0.60}

---

#Q
{"formula": "LiScSn3", "functional": "GGA-PBE", "state": "relaxed", "lattice_angstrom": [[6.0198, 0.0637, 0.0000], [-0.0586, 6.0448, 0.0000], [0.0000, 0.0000, 12.5909]], "species": ["Li", "Li", "Li", "Li", "Sn", "Sn", "Sn", "Sn", "Sn", "Sn", "Sn", "Sn", "Sn", "Sn", "Sn", "Sn", "Sc", "Sc", "Sc", "Sc"], "fractional_positions": [[0.2500, 0.5000, 0.1112], [0.7500, 0.5000, 0.8888], [0.2500, 0.0000, 0.1114], [0.7500, 0.0000, 0.8886], [0.2500, 0.0000, 0.5043], [0.7500, 0.0000, 0.4957], [0.3250, 0.2499, 0.9144], [0.9997, 0.7501, 0.2714], [0.6750, 0.7501, 0.0856], [0.8250, 0.2499, 0.0856], [0.4997, 0.7501, 0.7286], [0.7500, 0.5000, 0.4960], [0.2500, 0.5000, 0.5040], [0.5003, 0.2499, 0.2714], [0.1750, 0.7501, 0.9144], [0.0003, 0.2499, 0.7286], [0.0066, 0.2501, 0.3124], [0.9934, 0.7499, 0.6876], [0.4934, 0.7499, 0.3124], [0.5066, 0.2501, 0.6876]], "m_tot_mub_per_fu": 0.00, "vol_a3_per_atom": 22.91, "dos_ef_per_ev_atom": 0.54}

---

#R
{"formula": "LiScSn3", "functional": "GGA-PBE", "state": "relaxed", "lattice_angstrom": [[4.9608, 0.0000, 0.0000], [0.0000, 4.9608, 0.0000], [0.0000, 0.0000, 4.9608]], "species": ["Sn", "Sn", "Sn", "Li", "Sc"], "fractional_positions": [[0.0000, 0.0000, 0.5000], [0.5000, 0.0000, 0.0000], [0.0000, 0.5000, 0.0000], [0.0000, 0.0000, 0.0000], [0.5000, 0.5000, 0.5000]], "m_tot_mub_per_fu": 0.00, "vol_a3_per_atom": 24.42, "dos_ef_per_ev_atom": 0.75}

---

The computed energies, referenced to the most stable structure and given in meV per atom, are #P 525; #Q 0; #R 453.

---

#P
{"formula": "LiSc2Sn2", "functional": "GGA-PBE", "state": "relaxed", "lattice_angstrom": [[4.2108, 0.0000, 0.0000], [0.0000, 4.2108, 0.0000], [2.1054, 2.1054, 7.5703]], "species": ["Sc", "Sc", "Sn", "Sn", "Li"], "fractional_positions": [[0.6039, 0.6039, 0.7921], [0.3961, 0.3961, 0.2079], [0.2500, 0.7500, 0.5000], [0.7500, 0.2500, 0.5000], [0.0000, 0.0000, 0.0000]], "m_tot_mub_per_fu": 0.00, "vol_a3_per_atom": 26.85, "dos_ef_per_ev_atom": 0.87}

---

#Q
{"formula": "LiSc2Sn2", "functional": "GGA-PBE", "state": "relaxed", "lattice_angstrom": [[-5.2787, -1.2852, 2.5316], [2.5053, -4.7415, 2.8167], [2.8017, 6.5935, 2.0939]], "species": ["Li", "Li", "Sn", "Sn", "Sn", "Sn", "Sc", "Sc", "Sc", "Sc"], "fractional_positions": [[0.2500, 0.5000, 0.0000], [0.7500, 0.5000, 0.0000], [0.4032, 0.6953, 0.8064], [0.0968, 0.8889, 0.1936], [0.9032, 0.1111, 0.8064], [0.5968, 0.3047, 0.1936], [0.1664, 0.4297, 0.3329], [0.3336, 0.0968, 0.6671], [0.8336, 0.5703, 0.6671], [0.6664, 0.9032, 0.3329]], "m_tot_mub_per_fu": 0.00, "vol_a3_per_atom": 22.25, "dos_ef_per_ev_atom": 0.55}

---

The computed energies, referenced to the most stable structure and given in meV per atom, are #P 414; #Q 0.

---

#P
{"formula": "LiSc2Sn2", "functional": "GGA-PBE", "state": "relaxed", "lattice_angstrom": [[-1.2803, 0.5236, 8.5349], [-8.5084, -0.9386, -1.2187], [0.3202, -3.2217, 0.2457]], "species": ["Sc", "Sc", "Sc", "Sc", "Li", "Li", "Sn", "Sn", "Sn", "Sn"], "fractional_positions": [[0.3730, 0.8730, 0.0000], [0.6270, 0.1270, 0.0000], [0.1270, 0.3730, 0.0000], [0.8730, 0.6270, 0.0000], [0.0000, 0.0000, 0.0000], [0.5000, 0.5000, 0.0000], [0.3273, 0.1727, 0.5000], [0.1727, 0.6727, 0.5000], [0.6727, 0.8273, 0.5000], [0.8273, 0.3273, 0.5000]], "m_tot_mub_per_fu": 0.50, "vol_a3_per_atom": 24.27, "dos_ef_per_ev_atom": 0.65}

---

#Q
{"formula": "LiSc2Sn2", "functional": "GGA-PBE", "state": "relaxed", "lattice_angstrom": [[7.2458, 0.0000, 0.0000], [0.0000, 7.2458, 0.0000], [0.0000, 0.0000, 4.3274]], "species": ["Sn", "Sn", "Sn", "Sn", "Sc", "Sc", "Sc", "Sc", "Li", "Li"], "fractional_positions": [[0.3593, 0.8593, 0.0000], [0.6407, 0.1407, 0.0000], [0.8593, 0.6407, 0.0000], [0.1407, 0.3593, 0.0000], [0.8328, 0.3328, 0.5000], [0.1672, 0.6672, 0.5000], [0.6672, 0.8328, 0.5000], [0.3328, 0.1672, 0.5000], [0.5000, 0.5000, 0.0000], [0.0000, 0.0000, 0.0000]], "m_tot_mub_per_fu": 0.00, "vol_a3_per_atom": 22.72, "dos_ef_per_ev_atom": 0.72}

---

The computed energies, referenced to the most stable structure and given in meV per atom, are #P 107; #Q 0.

---

#P
{"formula": "LiScTlSn", "functional": "GGA-PBE", "state": "relaxed", "lattice_angstrom": [[5.0219, 0.0000, 0.0000], [2.5110, 4.3491, 0.0000], [2.5110, 1.4497, 4.1004]], "species": ["Li", "Sn", "Sc", "Tl"], "fractional_positions": [[0.0000, 0.0000, 0.0000], [0.2500, 0.2500, 0.2500], [0.5000, 0.5000, 0.5000], [0.7500, 0.7500, 0.7500]], "m_tot_mub_per_fu": 0.00, "vol_a3_per_atom": 22.39, "dos_ef_per_ev_atom": 0.52}

---

#Q
{"formula": "LiScTlSn", "functional": "GGA-PBE", "state": "relaxed", "lattice_angstrom": [[4.1834, 0.0000, 0.0000], [0.0000, 4.6692, 0.0000], [0.0000, 0.0000, 4.4609]], "species": ["Tl", "Li", "Sc", "Sn"], "fractional_positions": [[0.0000, 0.5000, 0.5000], [0.5000, 0.5000, 0.0000], [0.5000, 0.0000, 0.5000], [0.0000, 0.0000, 0.0000]], "m_tot_mub_per_fu": 0.00, "vol_a3_per_atom": 21.78, "dos_ef_per_ev_atom": 0.41}

---

The computed energies, referenced to the most stable structure and given in meV per atom, are #P 63; #Q 0.

---

#P
{"formula": "SrLiSc2", "functional": "GGA-PBE", "state": "relaxed", "lattice_angstrom": [[5.4752, -0.0071, 0.0000], [0.0208, 5.4752, 0.0000], [-2.7480, -2.7340, 3.8667]], "species": ["Li", "Sc", "Sc", "Sr"], "fractional_positions": [[0.7500, 0.2500, 0.5000], [0.0000, 0.0000, 0.0000], [0.2500, 0.7500, 0.5000], [0.5000, 0.5000, 0.0000]], "m_tot_mub_per_fu": 0.00, "vol_a3_per_atom": 28.98, "dos_ef_per_ev_atom": 1.47}

---

#Q
{"formula": "SrLiSc2", "functional": "GGA-PBE", "state": "relaxed", "lattice_angstrom": [[-4.5494, 1.7397, -3.0450], [-0.4789, -3.2043, -1.1151], [-3.6296, -1.9198, 4.3261]], "species": ["Sr", "Li", "Sc", "Sc"], "fractional_positions": [[0.5000, 0.2500, 0.2500], [0.5000, 0.7500, 0.7500], [0.0000, 0.5514, 0.5234], [0.0000, 0.9486, 0.9766]], "m_tot_mub_per_fu": 1.14, "vol_a3_per_atom": 29.02, "dos_ef_per_ev_atom": 1.49}

---

The computed energies, referenced to the most stable structure and given in meV per atom, are #P 32; #Q 0.